A relaxed Ba6Cu11F34 crystal. Source: Alexandria, functional GGA-PBEsol.

Values from the calculation:
Uncorrected formation energy   -2.35 eV/atom
M_tot   11.11 μB per cell
Crystal system   triclinic

```
data_Ba6Cu11F34
_symmetry_space_group_name_H-M 'P 1'
_symmetry_Int_Tables_number 1
_symmetry_space_group_name_Hall 'P 1'
_cell_length_a 7.434
_cell_length_b 9.931
_cell_length_c 10.096
_cell_angle_alpha 82.23
_cell_angle_beta 72.75
_cell_angle_gamma 71.10
loop_
_atom_site_label
_atom_site_fract_x
_atom_site_fract_y
_atom_site_fract_z
F1 0.888 0.854 0.474
F2 0.548 0.629 0.743
F3 0.452 0.371 0.257
F4 0.112 0.146 0.526
F5 0.946 0.116 0.311
F6 0.509 0.132 0.438
Cu1 0.295 0.751 0.716
F7 0.940 0.132 0.825
F8 0.060 0.868 0.175
Cu2 0.186 0.487 0.708
F9 0.803 0.611 0.462
Ba1 0.361 0.095 0.720
Cu3 0.275 0.256 0.385
F10 0.428 0.357 0.740
Cu4 0.814 0.513 0.292
Ba2 0.639 0.905 0.280
F11 0.141 0.141 0.015
F12 0.758 0.106 0.622
Cu5 0.196 0.006 0.182
Ba3 0.794 0.366 0.649
Cu6 0.894 0.254 0.980
F13 0.306 0.626 0.585
F14 0.875 0.402 0.109
F15 0.668 0.388 0.927
F16 0.242 0.894 0.378
Cu7 0.804 0.994 0.818
Cu8 0.000 0.000 0.500
F17 0.937 0.649 0.176
F18 0.125 0.598 0.891
Ba4 0.206 0.634 0.351
F19 0.332 0.612 0.073
Cu9 0.705 0.249 0.284
F20 0.672 0.868 0.773
Cu10 0.106 0.746 0.020
F21 0.054 0.884 0.689
F22 0.063 0.351 0.824
F23 0.328 0.132 0.227
F24 0.694 0.374 0.415
Ba5 0.316 0.349 0.028
F25 0.197 0.389 0.538
F26 0.271 0.855 0.867
F27 0.449 0.883 0.099
Cu11 0.725 0.744 0.615
F28 0.551 0.117 0.901
Ba6 0.684 0.651 0.972
F29 0.859 0.859 0.985
F30 0.572 0.643 0.260
F31 0.077 0.398 0.305
F32 0.491 0.868 0.562
F33 0.923 0.602 0.695
F34 0.729 0.145 0.133
```

***

A relaxed Ba2CuF6 crystal. Source: Alexandria, functional GGA-PBEsol.

Values from the calculation:
Uncorrected formation energy   -3.10 eV/atom
M_tot   1.01 μB per cell
Crystal system   tetragonal
Polymorph energy (0 for the lowest one)   6.3 kJ/mol of formula units

```
data_Ba2CuF6
_symmetry_space_group_name_H-M 'P 1'
_symmetry_Int_Tables_number 1
_symmetry_space_group_name_Hall 'P 1'
_cell_length_a 4.123
_cell_length_b 4.123
_cell_length_c 8.309
_cell_angle_alpha 104.37
_cell_angle_beta 104.37
_cell_angle_gamma 90.00
loop_
_atom_site_label
_atom_site_fract_x
_atom_site_fract_y
_atom_site_fract_z
F1 0.250 0.750 0.500
F2 0.621 0.621 0.242
F3 0.000 0.500 0.000
F4 0.379 0.379 0.758
Cu1 0.500 0.500 0.000
F5 0.750 0.250 0.500
Ba1 0.852 0.852 0.704
Ba2 0.148 0.148 0.296
F6 0.500 0.000 0.000
```

***

A relaxed Ba2CuF6 crystal. Source: Alexandria, functional GGA-PBEsol.

Values from the calculation:
Uncorrected formation energy   -3.10 eV/atom
M_tot   2.03 μB per cell
Crystal system   orthorhombic
Polymorph energy (0 for the lowest one)   0.0 kJ/mol of formula units

```
data_Ba2CuF6
_symmetry_space_group_name_H-M 'P 1'
_symmetry_Int_Tables_number 1
_symmetry_space_group_name_Hall 'P 1'
_cell_length_a 5.797
_cell_length_b 5.881
_cell_length_c 8.391
_cell_angle_alpha 90.00
_cell_angle_beta 110.21
_cell_angle_gamma 90.00
loop_
_atom_site_label
_atom_site_fract_x
_atom_site_fract_y
_atom_site_fract_z
Ba1 0.150 0.000 0.299
F1 0.002 0.250 0.500
F2 0.880 0.500 0.761
F3 0.498 0.750 0.500
F4 0.620 0.000 0.239
Ba2 0.650 0.500 0.299
Ba3 0.350 0.500 0.701
F5 0.286 0.674 0.000
F6 0.214 0.174 0.000
F7 0.502 0.250 0.500
F8 0.120 0.500 0.239
F9 0.786 0.826 0.000
F10 0.380 0.000 0.761
Cu1 0.500 0.000 0.000
Ba4 0.850 0.000 0.701
F11 0.714 0.326 0.000
Cu2 0.000 0.500 0.000
F12 0.998 0.750 0.500
```

***

A relaxed BaInCuF2 crystal. Source: Alexandria, functional GGA-PBEsol.

Values from the calculation:
Uncorrected formation energy   -1.49 eV/atom
M_tot   0.00 μB per cell
Crystal system   tetragonal

```
data_BaInCuF2
_symmetry_space_group_name_H-M 'P 1'
_symmetry_Int_Tables_number 1
_symmetry_space_group_name_Hall 'P 1'
_cell_length_a 4.645
_cell_length_b 4.645
_cell_length_c 4.966
_cell_angle_alpha 90.00
_cell_angle_beta 90.00
_cell_angle_gamma 90.00
loop_
_atom_site_label
_atom_site_fract_x
_atom_site_fract_y
_atom_site_fract_z
Cu1 0.000 0.000 0.500
F1 0.500 0.000 0.000
F2 0.000 0.500 0.000
Ba1 0.500 0.500 0.500
In1 0.000 0.000 0.000
```

***

A relaxed Ba2YCu3O6F crystal. Source: Alexandria, functional GGA-PBEsol.

Values from the calculation:
Uncorrected formation energy   -1.99 eV/atom
M_tot   0.00 μB per cell
Crystal system   orthorhombic

```
data_Ba2YCu3O6F
_symmetry_space_group_name_H-M 'P 1'
_symmetry_Int_Tables_number 1
_symmetry_space_group_name_Hall 'P 1'
_cell_length_a 3.778
_cell_length_b 3.930
_cell_length_c 11.701
_cell_angle_alpha 90.00
_cell_angle_beta 90.00
_cell_angle_gamma 90.00
loop_
_atom_site_label
_atom_site_fract_x
_atom_site_fract_y
_atom_site_fract_z
F1 0.000 0.500 0.000
Cu1 0.000 0.000 0.360
O1 0.500 0.000 0.381
O2 0.000 0.000 0.158
Cu2 0.000 0.000 0.640
Ba1 0.500 0.500 0.806
Y1 0.500 0.500 0.500
Cu3 0.000 0.000 0.000
Ba2 0.500 0.500 0.194
O3 0.000 0.000 0.842
O4 0.000 0.500 0.622
O5 0.000 0.500 0.378
O6 0.500 0.000 0.619
```

***

A relaxed BaScCuF2 crystal. Source: Alexandria, functional GGA-PBEsol.

Values from the calculation:
Uncorrected formation energy   -1.17 eV/atom
M_tot   0.89 μB per cell
Crystal system   tetragonal

```
data_BaScCuF2
_symmetry_space_group_name_H-M 'P 1'
_symmetry_Int_Tables_number 1
_symmetry_space_group_name_Hall 'P 1'
_cell_length_a 4.728
_cell_length_b 4.728
_cell_length_c 6.273
_cell_angle_alpha 90.00
_cell_angle_beta 90.00
_cell_angle_gamma 90.00
loop_
_atom_site_label
_atom_site_fract_x
_atom_site_fract_y
_atom_site_fract_z
Cu1 0.000 0.000 0.500
Sc1 0.500 0.500 0.500
F1 0.500 0.000 0.000
F2 0.000 0.500 0.000
Ba1 0.000 0.000 0.000
```

***

A relaxed Ba2CuSn2F14 crystal. Source: Alexandria, functional GGA-PBEsol.

Values from the calculation:
Uncorrected formation energy   -2.78 eV/atom
M_tot   1.98 μB per cell
Crystal system   monoclinic

```
data_Ba2CuSn2F14
_symmetry_space_group_name_H-M 'P 1'
_symmetry_Int_Tables_number 1
_symmetry_space_group_name_Hall 'P 1'
_cell_length_a 5.321
_cell_length_b 7.641
_cell_length_c 15.385
_cell_angle_alpha 90.94
_cell_angle_beta 90.00
_cell_angle_gamma 110.38
loop_
_atom_site_label
_atom_site_fract_x
_atom_site_fract_y
_atom_site_fract_z
Ba1 0.911 0.646 0.871
F1 0.884 0.296 0.951
F2 0.008 0.363 0.780
Cu1 0.500 0.000 0.500
Sn1 0.846 0.757 0.127
F3 0.183 0.749 0.711
F4 0.566 0.749 0.211
Sn2 0.911 0.757 0.627
Sn3 0.154 0.243 0.873
F5 0.917 0.989 0.847
F6 0.874 0.495 0.592
F7 0.928 0.011 0.653
F8 0.470 0.103 0.604
Ba2 0.089 0.354 0.129
F9 0.634 0.103 0.104
F10 0.530 0.897 0.396
F11 0.287 0.169 0.986
F12 0.713 0.831 0.014
F13 0.412 0.296 0.451
F14 0.588 0.704 0.549
Ba3 0.266 0.354 0.629
F15 0.116 0.704 0.049
F16 0.992 0.637 0.220
Sn4 0.089 0.243 0.373
F17 0.622 0.495 0.092
F18 0.072 0.989 0.347
F19 0.378 0.505 0.908
F20 0.434 0.251 0.789
Ba4 0.734 0.646 0.371
F21 0.366 0.897 0.896
F22 0.355 0.363 0.280
F23 0.118 0.831 0.514
F24 0.083 0.011 0.153
F25 0.645 0.637 0.720
F26 0.126 0.505 0.408
Cu2 0.500 0.000 0.000
F27 0.817 0.251 0.289
F28 0.882 0.169 0.486
```

***

A relaxed BaCuTeF crystal. Source: Alexandria, functional GGA-PBEsol.

Values from the calculation:
Uncorrected formation energy   -1.92 eV/atom
M_tot   0.00 μB per cell
Crystal system   tetragonal

```
data_BaCuTeF
_symmetry_space_group_name_H-M 'P 1'
_symmetry_Int_Tables_number 1
_symmetry_space_group_name_Hall 'P 1'
_cell_length_a 4.370
_cell_length_b 4.370
_cell_length_c 9.289
_cell_angle_alpha 90.00
_cell_angle_beta 90.00
_cell_angle_gamma 90.00
loop_
_atom_site_label
_atom_site_fract_x
_atom_site_fract_y
_atom_site_fract_z
Ba1 0.500 0.000 0.340
F1 0.000 0.000 0.500
F2 0.500 0.500 0.500
Ba2 0.000 0.500 0.660
Te1 0.500 0.000 0.840
Cu1 0.500 0.500 0.000
Te2 0.000 0.500 0.160
Cu2 0.000 0.000 0.000
```